Entry 1:
# Pr6Cu8P8O3 | Alexandria | meta-GGA SCAN | single point on PBEsol structure
# Electronic total energy   -517.20 eV per formula unit
# Size of the total moment   0.00 μB per formula unit
# V   16.19 Å³ per atom
data_Pr6Cu8P8O3
_chemical_formula_sum 'Pr12 Cu16 P16 O6'
_cell_length_a 5.5639
_cell_length_b 26.1501
_cell_length_c 5.5634
_cell_angle_alpha 90.00
_cell_angle_beta 90.00
_cell_angle_gamma 90.00
_symmetry_space_group_name_H-M 'C 2 2 2'
_symmetry_Int_Tables_number 21
loop_
_symmetry_equiv_pos_as_xyz
'x,y,z'
'-x,-y,z'
'x,-y,-z'
'-x,y,-z'
'x+1/2,y+1/2,z'
'-x+1/2,-y+1/2,z'
'x+1/2,-y+1/2,-z'
'-x+1/2,y+1/2,-z'
loop_
_atom_site_label
_atom_site_fract_x
_atom_site_fract_y
_atom_site_fract_z
Pr1 0.2355 0.0511 0.2356
Pr2 0.2500 0.2500 0.7500
Cu1 0.0000 0.1536 0.0000
Cu2 0.0000 0.1544 0.5000
Cu3 0.0000 0.3437 0.5000
Cu4 0.0000 0.3457 0.0000
P1 0.2442 0.3940 0.7439
P2 0.2491 0.2058 0.2484
O1 0.0000 0.0000 0.0000
O2 0.0000 0.0000 0.5000
O3 0.0000 0.5000 0.0000

=====

Entry 2:
# BeZnRe3 | Alexandria | meta-GGA SCAN | single point on PBEsol structure
# Formation enthalpy at 0 K   2.445 eV per atom
# Size of the total moment   0.00 μB per formula unit
# V   17.22 Å³ per atom
data_BeZnRe3
_chemical_formula_sum 'Be1 Zn1 Re3'
_cell_length_a 4.4156
_cell_length_b 4.4156
_cell_length_c 4.4156
_cell_angle_alpha 90.00
_cell_angle_beta 90.00
_cell_angle_gamma 90.00
_symmetry_space_group_name_H-M 'P m -3 m'
_symmetry_Int_Tables_number 221
_symmetry_space_group_name_Hall '-P 4 2 3'
loop_
_atom_site_label
_atom_site_fract_x
_atom_site_fract_y
_atom_site_fract_z
Be1 0.0000 0.0000 0.0000
Zn1 0.5000 0.5000 0.5000
Re1 0.0000 0.5000 0.5000

=====

Entry 3:
# SrRh2Au | Alexandria | meta-GGA SCAN | single point on PBEsol structure
# Formation enthalpy at 0 K   0.093 eV per atom
# Size of the total moment   0.00 μB per formula unit
# V   18.53 Å³ per atom
data_SrRh2Au
_chemical_formula_sum 'Sr1 Rh2 Au1'
_cell_length_a 2.9247
_cell_length_b 4.6392
_cell_length_c 5.5443
_cell_angle_alpha 90.00
_cell_angle_beta 99.77
_cell_angle_gamma 90.00
_symmetry_space_group_name_H-M 'P 1 2/m 1'
_symmetry_Int_Tables_number 10
loop_
_symmetry_equiv_pos_as_xyz
'x,y,z'
'-x,-y,-z'
'-x,y,-z'
'x,-y,z'
loop_
_atom_site_label
_atom_site_fract_x
_atom_site_fract_y
_atom_site_fract_z
Sr1 0.0000 0.0000 0.0000
Rh1 0.3127 0.5000 0.6989
Au1 0.5000 0.0000 0.5000

=====

Entry 4:
# Y3Rh | Alexandria | meta-GGA SCAN | single point on PBEsol structure
# Formation enthalpy at 0 K   -0.503 eV per atom
# Size of the total moment   0.00 μB per formula unit
# V   25.01 Å³ per atom
data_Y3Rh
_chemical_formula_sum 'Y6 Rh2'
_cell_length_a 3.5874
_cell_length_b 5.2443
_cell_length_c 10.6361
_cell_angle_alpha 90.00
_cell_angle_beta 90.00
_cell_angle_gamma 90.00
_symmetry_space_group_name_H-M 'I m m m'
_symmetry_Int_Tables_number 71
_symmetry_space_group_name_Hall '-I 2 2'
loop_
_atom_site_label
_atom_site_fract_x
_atom_site_fract_y
_atom_site_fract_z
Y1 0.0000 0.0000 0.0000
Y2 0.0000 0.5000 0.1983
Rh1 0.0000 0.0000 0.5000

=====

Entry 5:
# LiMnBO3 | Alexandria | meta-GGA SCAN | single point on PBEsol structure
# Offset from the most stable computed form   0.01 eV/f.u.
# Size of the total moment   5.00 μB per formula unit
# V   10.05 Å³ per atom
data_LiMnBO3
_chemical_formula_sum 'Li2 Mn2 B2 O6'
_cell_length_a 5.1511
_cell_length_b 5.1866
_cell_length_c 5.8726
_cell_angle_alpha 90.28
_cell_angle_beta 114.01
_cell_angle_gamma 119.46
_symmetry_space_group_name_H-M 'P -1'
_symmetry_Int_Tables_number 2
loop_
_symmetry_equiv_pos_as_xyz
'x,y,z'
'-x,-y,-z'
loop_
_atom_site_label
_atom_site_fract_x
_atom_site_fract_y
_atom_site_fract_z
Li1 0.0536 0.1219 0.3172
Mn1 0.3415 0.7504 0.2393
B1 0.3128 0.5761 0.7395
O1 0.1196 0.6266 0.8232
O2 0.2625 0.2893 0.7033
O3 0.4553 0.1861 0.3163

=====

Entry 6:
# YSi3Mo | Alexandria | meta-GGA SCAN | single point on PBEsol structure
# Electronic total energy   -91.95 eV per formula unit
# Size of the total moment   0.00 μB per formula unit
# V   20.16 Å³ per atom
data_YSi3Mo
_chemical_formula_sum 'Y1 Si3 Mo1'
_cell_length_a 4.6537
_cell_length_b 4.6537
_cell_length_c 4.6537
_cell_angle_alpha 90.00
_cell_angle_beta 90.00
_cell_angle_gamma 90.00
_symmetry_space_group_name_H-M 'P m -3 m'
_symmetry_Int_Tables_number 221
_symmetry_space_group_name_Hall '-P 4 2 3'
loop_
_atom_site_label
_atom_site_fract_x
_atom_site_fract_y
_atom_site_fract_z
Y1 0.0000 0.0000 0.0000
Si1 0.0000 0.5000 0.5000
Mo1 0.5000 0.5000 0.5000

=====

Entry 7:
# BeGa3Ir | Alexandria | meta-GGA SCAN | single point on PBEsol structure
# Formation enthalpy at 0 K   0.703 eV per atom
# Size of the total moment   0.00 μB per formula unit
# V   14.94 Å³ per atom
data_BeGa3Ir
_chemical_formula_sum 'Be1 Ga3 Ir1'
_cell_length_a 4.2116
_cell_length_b 4.2116
_cell_length_c 4.2116
_cell_angle_alpha 90.00
_cell_angle_beta 90.00
_cell_angle_gamma 90.00
_symmetry_space_group_name_H-M 'P m -3 m'
_symmetry_Int_Tables_number 221
_symmetry_space_group_name_Hall '-P 4 2 3'
loop_
_atom_site_label
_atom_site_fract_x
_atom_site_fract_y
_atom_site_fract_z
Be1 0.0000 0.0000 0.0000
Ga1 0.0000 0.0000 0.5000
Ir1 0.5000 0.5000 0.5000

=====

Entry 8:
# PtAu3C | Alexandria | meta-GGA SCAN | single point on PBEsol structure
# Formation enthalpy at 0 K   0.781 eV per atom
# Size of the total moment   0.00 μB per formula unit
# V   15.02 Å³ per atom
data_PtAu3C
_chemical_formula_sum 'Pt1 Au3 C1'
_cell_length_a 4.2187
_cell_length_b 4.2187
_cell_length_c 4.2187
_cell_angle_alpha 90.00
_cell_angle_beta 90.00
_cell_angle_gamma 90.00
_symmetry_space_group_name_H-M 'P m -3 m'
_symmetry_Int_Tables_number 221
_symmetry_space_group_name_Hall '-P 4 2 3'
loop_
_atom_site_label
_atom_site_fract_x
_atom_site_fract_y
_atom_site_fract_z
Pt1 0.0000 0.0000 0.0000
Au1 0.0000 0.5000 0.5000
C1 0.5000 0.5000 0.5000

=====

Entry 9:
# TlTcCl2 | Alexandria | meta-GGA SCAN | single point on PBEsol structure
# Offset from the most stable computed form   0.00 eV/f.u.
# Size of the total moment   1.22 μB per formula unit
# V   21.80 Å³ per atom
data_TlTcCl2
_chemical_formula_sum 'Tl2 Tc2 Cl4'
_cell_length_a 10.6966
_cell_length_b 3.0788
_cell_length_c 5.9778
_cell_angle_alpha 90.00
_cell_angle_beta 117.64
_cell_angle_gamma 90.00
_symmetry_space_group_name_H-M 'C 1 m 1'
_symmetry_Int_Tables_number 8
loop_
_symmetry_equiv_pos_as_xyz
'x,y,z'
'x,-y,z'
'x+1/2,y+1/2,z'
'x+1/2,-y+1/2,z'
loop_
_atom_site_label
_atom_site_fract_x
_atom_site_fract_y
_atom_site_fract_z
Tl1 0.0000 0.0000 0.0000
Tc1 0.2349 0.5000 0.9976
Cl1 0.1559 0.0000 0.6559
Cl2 0.3401 0.0000 0.3377

=====

Entry 10:
# BeCd2 | Alexandria | meta-GGA SCAN | single point on PBEsol structure
# Offset from the most stable computed form   0.00 eV/f.u.
# Formation enthalpy at 0 K   0.212 eV per atom
# Size of the total moment   0.00 μB per formula unit
# V   16.50 Å³ per atom
data_BeCd2
_chemical_formula_sum 'Be4 Cd8'
_cell_length_a 6.4917
_cell_length_b 6.4917
_cell_length_c 4.6989
_cell_angle_alpha 90.00
_cell_angle_beta 90.00
_cell_angle_gamma 90.00
_symmetry_space_group_name_H-M 'I 4/m c m'
_symmetry_Int_Tables_number 140
_symmetry_space_group_name_Hall '-I 4 2c'
loop_
_atom_site_label
_atom_site_fract_x
_atom_site_fract_y
_atom_site_fract_z
Be1 0.0000 0.0000 0.2500
Cd1 0.1582 0.3418 0.0000

=====

Entry 11:
# ZnTcSe2Br | Alexandria | meta-GGA SCAN | single point on PBEsol structure
# Electronic total energy   -106.64 eV per formula unit
# Size of the total moment   0.00 μB per formula unit
# V   23.52 Å³ per atom
data_ZnTcSe2Br
_chemical_formula_sum 'Zn1 Tc1 Se2 Br1'
_cell_length_a 4.7264
_cell_length_b 4.7264
_cell_length_c 5.2650
_cell_angle_alpha 90.00
_cell_angle_beta 90.00
_cell_angle_gamma 90.00
_symmetry_space_group_name_H-M 'P 4/m m m'
_symmetry_Int_Tables_number 123
_symmetry_space_group_name_Hall '-P 4 2'
loop_
_atom_site_label
_atom_site_fract_x
_atom_site_fract_y
_atom_site_fract_z
Zn1 0.0000 0.0000 0.0000
Tc1 0.5000 0.5000 0.5000
Se1 0.0000 0.5000 0.5000
Br1 0.5000 0.5000 0.0000

=====

Entry 12:
# BaMg2Fe | Alexandria | meta-GGA SCAN | single point on PBEsol structure
# Formation enthalpy at 0 K   0.521 eV per atom
# Size of the total moment   3.50 μB per formula unit
# V   25.58 Å³ per atom
data_BaMg2Fe
_chemical_formula_sum 'Ba4 Mg8 Fe4'
_cell_length_a 7.4249
_cell_length_b 7.4249
_cell_length_c 7.4249
_cell_angle_alpha 90.00
_cell_angle_beta 90.00
_cell_angle_gamma 90.00
_symmetry_space_group_name_H-M 'F -4 3 m'
_symmetry_Int_Tables_number 216
_symmetry_space_group_name_Hall 'F -4 2 3'
loop_
_atom_site_label
_atom_site_fract_x
_atom_site_fract_y
_atom_site_fract_z
Ba1 0.0000 0.0000 0.0000
Mg1 0.0000 0.0000 0.5000
Mg2 0.2500 0.2500 0.2500
Fe1 0.2500 0.2500 0.7500

=====

Entry 13:
# AlSeCl2 | Alexandria | meta-GGA SCAN | single point on PBEsol structure
# Offset from the most stable computed form   0.00 eV/f.u.
# Size of the total moment   0.00 μB per formula unit
# V   26.69 Å³ per atom
data_AlSeCl2
_chemical_formula_sum 'Al2 Se2 Cl4'
_cell_length_a 3.3892
_cell_length_b 5.4153
_cell_length_c 11.6340
_cell_angle_alpha 90.00
_cell_angle_beta 90.00
_cell_angle_gamma 90.00
_symmetry_space_group_name_H-M 'I m m 2'
_symmetry_Int_Tables_number 44
loop_
_symmetry_equiv_pos_as_xyz
'x,y,z'
'-x,-y,z'
'-x,y,z'
'x,-y,z'
'x+1/2,y+1/2,z+1/2'
'-x+1/2,-y+1/2,z+1/2'
'-x+1/2,y+1/2,z+1/2'
'x+1/2,-y+1/2,z+1/2'
loop_
_atom_site_label
_atom_site_fract_x
_atom_site_fract_y
_atom_site_fract_z
Al1 0.0000 0.0000 0.0000
Se1 0.0000 0.5000 0.3596
Cl1 0.0000 0.0000 0.4176
Cl2 0.0000 0.5000 0.6413

=====

Entry 14:
# CaCd2Rh2 | Alexandria | meta-GGA SCAN | single point on PBEsol structure
# Offset from the most stable computed form   0.37 eV/f.u.
# Formation enthalpy at 0 K   -0.175 eV per atom
# Size of the total moment   0.00 μB per formula unit
# V   20.36 Å³ per atom
data_CaCd2Rh2
_chemical_formula_sum 'Ca2 Cd4 Rh4'
_cell_length_a 4.2148
_cell_length_b 4.2148
_cell_length_c 11.4633
_cell_angle_alpha 90.00
_cell_angle_beta 90.00
_cell_angle_gamma 90.00
_symmetry_space_group_name_H-M 'I 4/m m m'
_symmetry_Int_Tables_number 139
_symmetry_space_group_name_Hall '-I 4 2'
loop_
_atom_site_label
_atom_site_fract_x
_atom_site_fract_y
_atom_site_fract_z
Ca1 0.0000 0.0000 0.0000
Cd1 0.0000 0.5000 0.2500
Rh1 0.0000 0.0000 0.3952